The following is a PBE-GGA calculation of a relaxed structure of NaTm4NpS8, from Alexandria.

The structure in extended XYZ format:
```
14
Lattice="3.998 2.308 6.635 -3.998 2.308 6.635 0.000 -4.616 6.635" Properties=species:S:1:pos:R:3 pbc="T T T"
Na 0.000 0.000 0.000
Tm -2.069 -1.194 9.126
Tm 0.000 0.000 5.016
Tm 2.069 -1.194 9.126
Tm 0.000 2.389 9.126
Np 0.000 0.000 12.524
S 0.000 -2.197 10.699
S -1.903 1.099 10.699
S 0.000 0.000 7.648
S -1.829 -1.056 14.240
S 1.903 1.099 10.699
S 0.000 0.000 17.212
S 1.829 -1.056 14.240
S 0.000 2.112 14.240
```

Properties
- space group = R3m, No. 160
- total moment (μB/f.u.) = 4.00
- formation energy from raw total energies (eV/f.u.) = -25.3
- energy (eV per atom) = -6.46

The following is a PBE-GGA calculation of a relaxed structure of TeSO, from Alexandria.

The structure in extended XYZ format:
```
6
Lattice="3.336 0.000 0.000 1.657 4.414 0.000 0.038 0.550 8.630" Properties=species:S:1:pos:R:3 pbc="T T T"
Te 0.834 1.495 1.443
Te 4.198 3.470 7.187
S 0.851 1.865 5.108
S 4.181 3.099 3.521
O 0.863 1.662 7.980
O 4.169 3.302 0.650
```

Properties
- space group = P-1, No. 2
- total moment (μB/f.u.) = 0.00
- formation energy from raw total energies (eV/f.u.) = -1.0
- energy (eV per atom) = -4.39

The following is a PBE-GGA calculation of a relaxed structure of ZrNi, from Alexandria.

The structure in extended XYZ format:
```
8
Lattice="-3.957 3.957 3.957 3.957 -3.957 3.957 3.957 3.957 -3.957" Properties=species:S:1:pos:R:3 pbc="T T T"
Zr 1.162 1.162 -1.162
Zr 1.162 -1.162 1.162
Zr -1.162 1.162 1.162
Zr 2.795 2.795 2.795
Ni 2.642 2.642 -2.642
Ni 2.642 -2.642 2.642
Ni 1.316 1.316 1.316
Ni -2.642 2.642 2.642
```

Properties
- ΔE_f (eV/atom) = 0.850
- space group = I-43m, No. 217
- total moment (μB/f.u.) = 0.00
- energy (eV per atom) = -6.31